1.
# SnPd3F

A relaxed structure of SnPd3F (PBE, the Alexandria database).

Formation energy from raw total energies   -0.057 eV/atom
Energy   -21.740 eV per cell
ΔE to the lowest computed polymorph   0.000 eV per formula unit
DOS(E_F)   2.33 states/eV/cell
Symmetry   No. 221
Size of the total moment   0.0 Bohr magnetons per cell

a = 4.4334 Å, b = 4.4334 Å, c = 4.4334 Å
α = 90.00°, β = 90.00°, γ = 90.00°
Fractional coordinates of all 5 atoms:
Sn1 0.5000 0.5000 0.5000
Pd1 0.0000 0.5000 0.0000
Pd2 0.0000 0.0000 0.5000
Pd3 0.5000 0.0000 0.0000
F1 0.0000 0.0000 0.0000

=====

2.
# MoAsP2

A relaxed structure of MoAsP2 (PBE, the Alexandria database).

Energy   -24.729 eV per cell
DOS(E_F)   3.35 states/eV/cell
Symmetry   No. 65
ΔH_f (0 K)   392.9 meV/atom
Size of the total moment   0.0 Bohr magnetons per cell

a = 4.4467 Å, b = 4.4467 Å, c = 3.1063 Å
α = 90.00°, β = 90.00°, γ = 103.56°
Fractional coordinates of all 4 atoms:
As1 0.5000 0.0000 0.5000
Mo1 0.0000 0.5000 0.5000
P1 0.0000 0.0000 0.0000
P2 0.5000 0.5000 0.0000

=====

3.
# LaPr5Pb5

A relaxed structure of LaPr5Pb5 (PBE, the Alexandria database).

Energy   -51.232 eV per cell
DOS(E_F)   11.05 states/eV/cell
Symmetry   No. 12
ΔH_f (0 K)   -351.4 meV/atom
Size of the total moment   0.5 Bohr magnetons per cell

a = 6.5096 Å, b = 8.0430 Å, c = 9.0000 Å
α = 106.03°, β = 90.00°, γ = 113.87°
Each line ends with the local moment (μB).
Fractional coordinates of all 11 atoms:
La1 0.0000 0.0000 0.0000  0.00
Pr1 0.6647 0.3295 0.3352  0.02
Pr2 0.6688 0.3377 0.8350  0.02
Pr3 0.0000 0.0000 0.5000  0.07
Pr4 0.3312 0.6623 0.1650  0.02
Pr5 0.3353 0.6705 0.6648  0.02
Pb1 0.8340 0.6680 0.1736  0.00
Pb2 0.8342 0.6684 0.6625  0.00
Pb3 0.5000 0.0000 0.0000  -0.01
Pb4 0.1658 0.3316 0.3375  0.00
Pb5 0.1660 0.3320 0.8264  0.00